No. 1
DFT (PBE-GGA) results for an optimized crystal structure of Y2CrI.

Cell: 7.322 7.322 7.322 Å, 90.00 90.00 90.00°
Space group Fm-3m (No. 225)
Inequivalent atoms, fractional coordinates:
Y: 0.250 0.250 0.250
Cr: 0.000 0.000 0.000
I: 0.000 0.000 0.500

Formation energy from raw total energies   0.48 eV per atom
DFT total energy   -0.2037 Ha/atom
DOS at the Fermi energy   4.5 states/eV/f.u.
Crystal system   cubic
Energy relative to the lowest polymorph listed for this composition   76 kJ/mol of formula units

=====

No. 2
DFT (PBE-GGA) results for an optimized crystal structure of Y2CrI.

Cell: 8.168 8.168 6.929 Å, 90.00 90.00 90.00°
Space group I-42d (No. 122)
Inequivalent atoms, fractional coordinates:
Y: 0.241 0.250 0.125
Cr: 0.000 0.000 0.000
I: 0.000 0.000 0.500

Formation energy from raw total energies   0.28 eV per atom
DFT total energy   -0.2110 Ha/atom
DOS at the Fermi energy   4.5 states/eV/f.u.
Crystal system   tetragonal
Energy relative to the lowest polymorph listed for this composition   0 kJ/mol of formula units

=====

No. 3
DFT (PBE-GGA) results for an optimized crystal structure of YCrI2.

Cell: 5.299 5.299 19.090 Å, 90.00 90.00 90.00°
Space group I-42d (No. 122)
Inequivalent atoms, fractional coordinates:
Y: 0.000 0.000 0.000
Cr: 0.000 0.000 0.500
I: 0.243 0.250 0.625

Formation energy from raw total energies   0.05 eV per atom
DFT total energy   -0.1745 Ha/atom
DOS at the Fermi energy   2.8 states/eV/f.u.
Crystal system   tetragonal
Energy relative to the lowest polymorph listed for this composition   37 kJ/mol of formula units

=====

No. 4
DFT (PBE-GGA) results for an optimized crystal structure of YCrI3.

Cell: 5.556 5.556 5.556 Å, 90.00 90.00 90.00°
Space group Pm-3m (No. 221)
Inequivalent atoms, fractional coordinates:
Y: 0.000 0.000 0.000
Cr: 0.500 0.500 0.500
I: 0.000 0.500 0.500

Formation energy from raw total energies   -0.05 eV per atom
DFT total energy   -0.1544 Ha/atom
DOS at the Fermi energy   4.9 states/eV/f.u.
Crystal system   cubic
Energy relative to the lowest polymorph listed for this composition   104 kJ/mol of formula units

=====

No. 5
DFT (PBE-GGA) results for an optimized crystal structure of YCr3I.

Cell: 4.915 4.915 4.915 Å, 90.00 90.00 90.00°
Space group Pm-3m (No. 221)
Inequivalent atoms, fractional coordinates:
Y: 0.000 0.000 0.000
Cr: 0.000 0.500 0.500
I: 0.500 0.500 0.500

Formation energy from raw total energies   1.25 eV per atom
DFT total energy   -0.2252 Ha/atom
DOS at the Fermi energy   6.5 states/eV/f.u.
Crystal system   cubic
Energy relative to the lowest polymorph listed for this composition   0 kJ/mol of formula units

=====

No. 6
DFT (PBE-GGA) results for an optimized crystal structure of YCr2I.

Cell: 8.271 8.271 6.090 Å, 90.00 90.00 90.00°
Space group I-42d (No. 122)
Inequivalent atoms, fractional coordinates:
Y: 0.000 0.000 0.000
Cr: 0.225 0.250 0.625
I: 0.000 0.000 0.500

Formation energy from raw total energies   0.70 eV per atom
DFT total energy   -0.2249 Ha/atom
DOS at the Fermi energy   4.5 states/eV/f.u.
Crystal system   tetragonal
Energy relative to the lowest polymorph listed for this composition   0 kJ/mol of formula units

=====

> Look up the formation energy from raw total energies of the sixth one.

0.70 eV per atom

=====

> energy relative to the lowest polymorph listed for this composition of number 4 (YCrI3)?

104 kJ/mol of formula units

=====

> What is the energy relative to the lowest polymorph listed for this composition in the sixth record?

0 kJ/mol of formula units